Entry 1:
{"formula": "ZrPaNi", "functional": "GGA-PBE", "state": "relaxed", "de_polymorph_mev_per_atom": 491.4, "total_energy_ev_per_atom": -7.202, "e_form_mev_per_atom": 668, "cell": [[-2.370, 0.001, 3.838], [-3.614, 2.666, 0.418], [-4.134, -1.803, 0.098]], "species": ["Ni", "Pa", "Zr"], "fractional_positions": [[0.250, 0.250, 0.250], [0.000, 0.000, 0.000], [0.750, 0.750, 0.750]]}



Entry 2:
{"formula": "TbPrB2Ir2N2", "functional": "GGA-PBE", "state": "relaxed", "total_energy_ev_per_atom": -8.243, "cell": [[3.789, 0.000, 0.000], [0.000, 3.789, 0.000], [0.000, 0.000, 7.545]], "species": ["B", "B", "N", "N", "Tb", "Pr", "Ir", "Ir"], "fractional_positions": [[0.000, 0.000, 0.347], [0.500, 0.500, 0.651], [0.500, 0.500, 0.848], [0.000, 0.000, 0.147], [0.000, 0.000, 0.836], [0.500, 0.500, 0.166], [0.500, 0.000, 0.503], [0.000, 0.500, 0.503]]}



Entry 3:
{"formula": "LiBeTlNi", "functional": "GGA-PBE", "state": "relaxed", "de_polymorph_mev_per_atom": 89.4, "total_energy_ev_per_atom": -3.201, "cell": [[0.000, 3.022, 3.022], [3.022, 0.000, 3.022], [3.022, 3.022, 0.000]], "species": ["Tl", "Ni", "Be", "Li"], "fractional_positions": [[0.000, 0.000, 0.000], [0.750, 0.750, 0.750], [0.250, 0.250, 0.250], [0.500, 0.500, 0.500]]}



Entry 4:
{"formula": "Pr2HoMg3Ir2Pt", "functional": "GGA-PBE", "state": "relaxed", "total_energy_ev_per_atom": -5.450, "cell": [[4.098, 0.000, 0.000], [0.000, 6.442, 3.730], [0.000, -6.442, 3.730]], "species": ["Ho", "Pt", "Pr", "Pr", "Mg", "Mg", "Mg", "Ir", "Ir"], "fractional_positions": [[0.000, 0.410, 0.410], [0.000, 0.009, 0.009], [0.000, 0.584, 0.000], [0.000, 0.000, 0.584], [0.500, 0.752, 0.752], [0.500, 0.005, 0.245], [0.500, 0.245, 0.005], [0.500, 0.337, 0.658], [0.500, 0.658, 0.337]]}



Entry 5:
{"formula": "ErAsN2O", "functional": "GGA-PBE", "state": "relaxed", "total_energy_ev_per_atom": -7.031, "cell": [[-1.708, -3.296, -3.973], [0.311, -5.398, 0.689], [-8.447, -2.316, 2.608]], "species": ["N", "N", "N", "N", "N", "N", "N", "N", "Er", "Er", "Er", "Er", "O", "O", "O", "O", "As", "As", "As", "As"], "fractional_positions": [[0.844, 0.492, 0.341], [0.803, 0.122, 0.617], [0.445, 0.308, 0.390], [0.864, 0.754, 0.906], [0.662, 0.725, 0.585], [0.176, 0.629, 0.122], [0.240, 0.521, 0.667], [0.574, 0.042, 0.139], [0.875, 0.901, 0.339], [0.609, 0.610, 0.122], [0.316, 0.341, 0.923], [0.225, 0.112, 0.613], [0.724, 0.352, 0.895], [0.265, 0.976, 0.864], [0.262, 0.926, 0.384], [0.009, 0.183, 0.119], [0.857, 0.771, 0.704], [0.937, 0.001, 0.991], [0.573, 0.462, 0.513], [0.240, 0.274, 0.266]]}



Entry 6:
{"formula": "Sm2ZnSb2", "functional": "GGA-PBE", "state": "relaxed", "total_energy_ev_per_atom": -4.542, "cell": [[2.219, -9.224, 0.000], [2.219, 9.224, 0.000], [0.000, 0.000, 6.615]], "species": ["Sb", "Sb", "Sb", "Sb", "Sm", "Sm", "Sm", "Sm", "Zn", "Zn"], "fractional_positions": [[0.170, 0.830, 0.485], [0.589, 0.411, 0.012], [0.830, 0.170, 0.985], [0.411, 0.589, 0.512], [0.993, 0.007, 0.773], [0.205, 0.795, 0.986], [0.795, 0.205, 0.486], [0.007, 0.993, 0.273], [0.595, 0.405, 0.587], [0.405, 0.595, 0.087]]}



Entry 7:
{"formula": "CoAu2", "functional": "GGA-PBE", "state": "relaxed", "total_energy_ev_per_atom": -3.829, "e_form_mev_per_atom": 717, "cell": [[-0.424, 2.617, -4.862], [-5.255, -1.689, -0.451], [-1.225, 3.307, 1.887]], "species": ["Au", "Au", "Au", "Au", "Co", "Co"], "fractional_positions": [[0.688, 0.688, 0.000], [0.188, 0.812, 0.500], [0.812, 0.188, 0.500], [0.312, 0.312, 0.000], [0.000, 0.000, 0.000], [0.500, 0.500, 0.500]]}



Entry 8:
{"formula": "LuCdInTe3", "functional": "GGA-PBE", "state": "relaxed", "de_polymorph_mev_per_atom": 0.0, "total_energy_ev_per_atom": -3.651, "cell": [[15.156, 0.000, 0.000], [0.000, 4.417, 0.000], [0.000, 0.000, 11.823]], "species": ["In", "In", "In", "In", "Lu", "Lu", "Lu", "Lu", "Te", "Te", "Te", "Te", "Te", "Te", "Te", "Te", "Te", "Te", "Te", "Te", "Cd", "Cd", "Cd", "Cd"], "fractional_positions": [[0.739, 0.250, 0.050], [0.261, 0.750, 0.950], [0.239, 0.250, 0.450], [0.761, 0.750, 0.550], [0.525, 0.250, 0.345], [0.975, 0.750, 0.845], [0.025, 0.250, 0.155], [0.475, 0.750, 0.655], [0.153, 0.750, 0.229], [0.599, 0.750, 0.872], [0.601, 0.250, 0.578], [0.347, 0.250, 0.729], [0.901, 0.250, 0.372], [0.899, 0.750, 0.078], [0.847, 0.250, 0.771], [0.101, 0.250, 0.922], [0.401, 0.250, 0.128], [0.399, 0.750, 0.422], [0.653, 0.750, 0.271], [0.099, 0.750, 0.628], [0.522, 0.750, 0.101], [0.478, 0.250, 0.899], [0.978, 0.250, 0.601], [0.022, 0.750, 0.399]]}